(1)
## LaTb2Pr5Th (PBE)

Data for a geometry-optimized LaTb2Pr5Th structure.

Cell lengths 10.675, 10.675, 10.693 Å; angles 90.00, 90.00, 148.52 degrees
Atoms (fractional coordinates):
La 0.087 0.913 0.500
La 0.913 0.087 0.000
Tb 0.384 0.616 0.371
Tb 0.387 0.613 0.788
Tb 0.613 0.387 0.288
Tb 0.616 0.384 0.871
Pr 0.022 0.978 0.794
Pr 0.115 0.885 0.079
Pr 0.208 0.792 0.755
Pr 0.223 0.777 0.369
Pr 0.484 0.516 0.077
Pr 0.516 0.484 0.577
Pr 0.777 0.223 0.869
Pr 0.792 0.208 0.255
Pr 0.885 0.115 0.579
Pr 0.978 0.022 0.294
Th 0.302 0.698 0.066
Th 0.698 0.302 0.566

Computed properties:
crystal system	orthorhombic
energy	-88.2	eV per cell
D(E_F)	1.427	states/eV per atom


(2)
## P2WSe (PBE)

Data for a geometry-optimized P2WSe structure.

Cell lengths 2.770, 2.770, 10.223 Å; angles 90.00, 90.00, 105.80 degrees
Atoms (fractional coordinates):
P 0.000 0.000 0.183
P 0.000 0.000 0.817
W 0.500 0.500 0.000
Se 0.500 0.500 0.500

Computed properties:
crystal system	orthorhombic
energy	-25.9	eV per cell
D(E_F)	0.557	states/eV per atom


(3)
## SmY2Ho3Tm6 (PBE)

Data for a geometry-optimized SmY2Ho3Tm6 structure.

Cell lengths 6.098, 6.098, 11.666 Å; angles 94.99, 94.99, 119.94 degrees
Atoms (fractional coordinates):
Sm 0.000 0.000 0.000
Y 0.333 0.667 0.000
Y 0.667 0.333 0.000
Ho 0.167 0.833 0.500
Ho 0.500 0.500 0.500
Ho 0.833 0.167 0.500
Tm 0.085 0.418 0.252
Tm 0.249 0.249 0.748
Tm 0.418 0.085 0.252
Tm 0.582 0.915 0.748
Tm 0.751 0.751 0.252
Tm 0.915 0.582 0.748

Computed properties:
crystal system	monoclinic
energy	-57.9	eV per cell
D(E_F)	1.407	states/eV per atom


Q: What is the D(E_F) in the first record?
A: 1.427 states/eV per atom


What did the third record say?
## SmY2Ho3Tm6 (PBE)

Data for a geometry-optimized SmY2Ho3Tm6 structure.

Cell lengths 6.098, 6.098, 11.666 Å; angles 94.99, 94.99, 119.94 degrees
Atoms (fractional coordinates):
Sm 0.000 0.000 0.000
Y 0.333 0.667 0.000
Y 0.667 0.333 0.000
Ho 0.167 0.833 0.500
Ho 0.500 0.500 0.500
Ho 0.833 0.167 0.500
Tm 0.085 0.418 0.252
Tm 0.249 0.249 0.748
Tm 0.418 0.085 0.252
Tm 0.582 0.915 0.748
Tm 0.751 0.751 0.252
Tm 0.915 0.582 0.748

Computed properties:
crystal system	monoclinic
energy	-57.9	eV per cell
D(E_F)	1.407	states/eV per atom


Q: Look up the energy of the third one.
A: -57.9 eV per cell


Q: Which of these has the lowest energy?
A: LaTb2Pr5Th